VASP calculation (GGA-PBE) on Li2Tb2DyMg5 after structural relaxation.

```
20
Lattice="10.5819 0.0000 0.0000 0.0000 10.5819 0.0000 0.0000 0.0000 4.4074" Properties=species:S:1:pos:R:3 pbc="T T T"
Li 1.2154 4.0756 0.0000
Li 4.0756 9.3665 0.0000
Li 6.5063 1.2154 0.0000
Li 9.3665 6.5063 0.0000
Tb 1.9036 7.1946 0.0000
Tb 3.3873 1.9036 0.0000
Tb 7.1946 8.6783 0.0000
Tb 8.6783 3.3873 0.0000
Dy 0.0000 0.0000 0.0000
Dy 5.2910 5.2910 0.0000
Mg 0.0000 5.2910 2.2037
Mg 0.6675 2.2639 2.2037
Mg 2.2639 9.9144 2.2037
Mg 3.0270 4.6235 2.2037
Mg 4.6235 7.5549 2.2037
Mg 5.2910 0.0000 2.2037
Mg 5.9584 3.0270 2.2037
Mg 7.5549 5.9584 2.2037
Mg 8.3180 0.6675 2.2037
Mg 9.9144 8.3180 2.2037
```

## Properties
Total magnetization in μB per formula unit: 0.00
Space-group type: No. 127
Energy of formation from the pure elements in kJ/mol of atoms: -2.4
Raw total energy in eV for the cell shown: -51.82


VASP calculation (GGA-PBE) on Li2Dy2ThMg5 after structural relaxation.

```
20
Lattice="10.5703 0.0000 0.0000 0.0000 10.5703 0.0000 0.0000 0.0000 4.4503" Properties=species:S:1:pos:R:3 pbc="T T T"
Li 1.1830 4.1021 0.0000
Li 4.1021 9.3872 0.0000
Li 6.4682 1.1830 0.0000
Li 9.3872 6.4682 0.0000
Dy 1.9289 7.2141 0.0000
Dy 3.3562 1.9289 0.0000
Dy 7.2141 8.6413 0.0000
Dy 8.6413 3.3562 0.0000
Th 0.0000 0.0000 0.0000
Th 5.2851 5.2851 0.0000
Mg 0.0000 5.2851 2.2251
Mg 0.6432 2.3153 2.2251
Mg 2.3153 9.9271 2.2251
Mg 2.9698 4.6419 2.2251
Mg 4.6419 7.6004 2.2251
Mg 5.2851 0.0000 2.2251
Mg 5.9283 2.9698 2.2251
Mg 7.6004 5.9283 2.2251
Mg 8.2550 0.6432 2.2251
Mg 9.9271 8.2550 2.2251
```

## Properties
Total magnetization in μB per formula unit: 0.00
Space-group type: No. 127
Energy of formation from the pure elements in kJ/mol of atoms: 3.3
Raw total energy in eV for the cell shown: -56.17


VASP calculation (GGA-PBE) on Li2DyMg2Tl2 after structural relaxation.

```
7
Lattice="2.4054 1.3888 7.9980 -2.4054 1.3888 7.9980 0.0000 -2.7775 7.9980" Properties=species:S:1:pos:R:3 pbc="T T T"
Li 0.0000 0.0000 1.8684
Li 0.0000 0.0000 22.1256
Dy 0.0000 0.0000 11.9970
Mg 0.0000 0.0000 8.7312
Mg 0.0000 0.0000 15.2628
Tl 0.0000 0.0000 5.6699
Tl 0.0000 0.0000 18.3241
```

## Properties
Total magnetization in μB per formula unit: 0.00
Space-group type: No. 166
Energy of formation from the pure elements in kJ/mol of atoms: -20.8
Raw total energy in eV for the cell shown: -17.86